No. 1
{"formula": "Ti3VMo", "functional": "GGA-PBE", "state": "relaxed", "delta_e_f_ev_per_atom": 0.884, "polymorph_energy_mev_per_atom": 928, "sg": "Pm-3m, No. 221", "final_energy_ev_per_atom": -7.843, "lattice_angstrom": [[-2.771, -1.232, 3.264], [-3.043, -1.186, -3.031], [1.707, -4.114, -0.103]], "species": ["V", "Mo", "Ti", "Ti", "Ti"], "frac_coords": [[0.000, 0.000, 0.000], [0.500, 0.500, 0.500], [0.000, 0.000, 0.500], [0.000, 0.500, 0.000], [0.500, 0.000, 0.000]]}


No. 2
{"formula": "Y4MgNi", "functional": "GGA-PBE", "state": "relaxed", "delta_e_f_ev_per_atom": -0.206, "polymorph_energy_mev_per_atom": 0, "sg": "F-43m, No. 216", "final_energy_ev_per_atom": -5.744, "lattice_angstrom": [[8.384, 0.000, 4.841], [2.795, 7.905, 4.841], [0.000, 0.000, 9.681]], "species": ["Y", "Y", "Y", "Y", "Y", "Y", "Y", "Y", "Y", "Y", "Y", "Y", "Y", "Y", "Y", "Y", "Mg", "Mg", "Mg", "Mg", "Ni", "Ni", "Ni", "Ni"], "frac_coords": [[0.938, 0.938, 0.562], [0.185, 0.815, 0.185], [0.789, 0.404, 0.404], [0.938, 0.562, 0.938], [0.815, 0.185, 0.815], [0.815, 0.815, 0.185], [0.562, 0.938, 0.562], [0.562, 0.938, 0.938], [0.404, 0.789, 0.404], [0.815, 0.185, 0.185], [0.404, 0.404, 0.789], [0.404, 0.404, 0.404], [0.938, 0.562, 0.562], [0.185, 0.815, 0.815], [0.185, 0.185, 0.815], [0.562, 0.562, 0.938], [0.488, 0.171, 0.171], [0.171, 0.488, 0.171], [0.171, 0.171, 0.171], [0.171, 0.171, 0.488], [0.608, 0.608, 0.608], [0.608, 0.608, 0.176], [0.608, 0.176, 0.608], [0.176, 0.608, 0.608]]}


No. 3
{"formula": "SrRe2Tc", "functional": "GGA-PBE", "state": "relaxed", "delta_e_f_ev_per_atom": 1.300, "polymorph_energy_mev_per_atom": 650, "sg": "P4/mmm, No. 123", "final_energy_ev_per_atom": -7.936, "lattice_angstrom": [[-3.903, 1.154, -2.762], [-1.003, -4.781, -0.580], [-1.686, 0.062, 2.408]], "species": ["Tc", "Re", "Re", "Sr"], "frac_coords": [[0.000, 0.500, 0.500], [0.500, 0.500, 0.000], [0.000, 0.000, 0.000], [0.500, 0.000, 0.500]]}


No. 4
{"formula": "Ca2TiPt", "functional": "GGA-PBE", "state": "relaxed", "delta_e_f_ev_per_atom": 0.030, "polymorph_energy_mev_per_atom": 68, "sg": "Fm-3m, No. 225", "final_energy_ev_per_atom": -4.454, "lattice_angstrom": [[-1.100, -4.962, -0.513], [-4.606, -1.435, -1.680], [-0.499, -2.037, -4.658]], "species": ["Ca", "Ca", "Ti", "Pt"], "frac_coords": [[0.250, 0.250, 0.250], [0.750, 0.750, 0.750], [0.000, 0.000, 0.000], [0.500, 0.500, 0.500]]}


Q: Number 3 is which compound?
A: SrRe2Tc


Q: Number 3 is which compound?
A: SrRe2Tc